No. 1
VASP calculation (GGA-PBE) on crystalline BaCr at its relaxed geometry.

Values from the calculation:
The volume is 125.6 Å³/cell. For the energy relative to the elements, the calculation gives 1.48 eV/f.u.

The structure in extended XYZ format:
```
4
Lattice="1.961 1.132 9.429 -1.961 1.132 9.429 0.000 -2.264 9.429" Properties=species:S:1:pos:R:3 pbc="T T T"
Ba 0.000 0.000 2.564
Ba 0.000 0.000 25.724
Cr 0.000 0.000 9.432
Cr 0.000 0.000 18.857
```


No. 2
VASP calculation (GGA-PBE) on crystalline BaCr at its relaxed geometry.

Values from the calculation:
The volume is 79.3 Å³/cell. For the energy relative to the elements, the calculation gives 2.14 eV/f.u.

The structure in extended XYZ format:
```
2
Lattice="4.275 0.000 0.000 -2.137 3.702 0.000 0.000 0.000 5.011" Properties=species:S:1:pos:R:3 pbc="T T T"
Ba 0.000 0.000 0.000
Cr 2.137 1.234 2.506
```


No. 3
VASP calculation (GGA-PBE) on crystalline BaCr2 at its relaxed geometry.

Values from the calculation:
The volume is 128.5 Å³/cell. The calculation puts the offset from the most stable computed form at 373 meV per atom. For the energy relative to the elements, the calculation gives 2.83 eV/f.u.

The structure in extended XYZ format:
```
6
Lattice="6.122 -2.275 0.000 6.122 2.275 0.000 0.000 0.000 4.612" Properties=species:S:1:pos:R:3 pbc="T T T"
Ba 6.122 1.203 3.459
Ba 6.122 -1.203 1.153
Cr 3.261 0.538 1.153
Cr 3.261 -0.538 3.459
Cr 8.983 0.538 1.153
Cr 8.983 -0.538 3.459
```


No. 4
VASP calculation (GGA-PBE) on crystalline BaCr2 at its relaxed geometry.

Values from the calculation:
The volume is 136.4 Å³/cell. The calculation puts the offset from the most stable computed form at 470 meV per atom. For the energy relative to the elements, the calculation gives 3.12 eV/f.u.

The structure in extended XYZ format:
```
6
Lattice="-2.388 2.388 5.982 2.388 -2.388 5.982 2.388 2.388 -5.982" Properties=species:S:1:pos:R:3 pbc="T T T"
Ba 0.000 0.000 2.991
Ba 0.000 0.000 8.972
Cr 3.104 0.716 0.000
Cr 0.716 1.672 0.000
Cr 1.672 0.716 5.982
Cr -0.716 1.672 5.982
```


No. 5
VASP calculation (GGA-PBE) on crystalline BaCr2 at its relaxed geometry.

Values from the calculation:
The volume is 169.3 Å³/cell. The calculation puts the offset from the most stable computed form at 136 meV per atom. For the energy relative to the elements, the calculation gives 2.12 eV/f.u.

The structure in extended XYZ format:
```
6
Lattice="5.913 -2.222 0.000 5.913 2.222 0.000 -4.790 0.000 6.444" Properties=species:S:1:pos:R:3 pbc="T T T"
Ba -0.850 0.000 2.121
Ba 7.885 0.000 4.323
Cr 2.554 0.000 0.886
Cr -0.391 0.000 5.814
Cr 7.426 0.000 0.629
Cr 4.480 0.000 5.558
```


No. 6
VASP calculation (GGA-PBE) on crystalline Ba4Cr5 at its relaxed geometry.

Values from the calculation:
The volume is 329.4 Å³/cell. The calculation puts the offset from the most stable computed form at 0 meV per atom. For the energy relative to the elements, the calculation gives 7.12 eV/f.u.

The structure in extended XYZ format:
```
9
Lattice="-6.196 6.196 2.145 6.196 -6.196 2.145 6.196 6.196 -2.145" Properties=species:S:1:pos:R:3 pbc="T T T"
Ba 3.420 0.000 0.000
Ba 8.972 0.000 0.000
Ba 0.000 3.420 0.000
Ba 0.000 8.972 0.000
Cr 0.000 0.000 0.000
Cr 5.140 5.140 0.000
Cr 1.056 -1.056 2.145
Cr -1.056 1.056 2.145
Cr 1.056 1.056 2.145
```


No. 7
VASP calculation (GGA-PBE) on crystalline BaCr at its relaxed geometry.

Values from the calculation:
The volume is 326.6 Å³/cell. For the energy relative to the elements, the calculation gives 2.29 eV/f.u.

The structure in extended XYZ format:
```
8
Lattice="6.970 0.000 0.000 0.000 6.970 0.000 0.000 0.000 6.724" Properties=species:S:1:pos:R:3 pbc="T T T"
Ba 1.283 1.283 0.000
Ba 2.202 4.768 3.362
Ba 4.768 2.202 3.362
Ba 5.687 5.687 0.000
Cr 0.625 0.625 3.362
Cr 2.860 4.110 0.000
Cr 4.110 2.860 0.000
Cr 6.345 6.345 3.362
```


No. 8
VASP calculation (GGA-PBE) on crystalline BaCr at its relaxed geometry.

Values from the calculation:
The volume is 116.4 Å³/cell. For the energy relative to the elements, the calculation gives 1.89 eV/f.u.

The structure in extended XYZ format:
```
4
Lattice="-1.768 2.827 5.822 1.768 -2.827 5.822 1.768 2.827 -5.822" Properties=species:S:1:pos:R:3 pbc="T T T"
Ba 0.000 1.413 1.181
Ba 1.768 1.413 4.641
Cr 1.768 1.413 -2.311
Cr 0.000 1.413 8.133
```


No. 9
VASP calculation (GGA-PBE) on crystalline BaCr2 at its relaxed geometry.

Values from the calculation:
The volume is 147.3 Å³/cell. The calculation puts the offset from the most stable computed form at 733 meV per atom. For the energy relative to the elements, the calculation gives 3.91 eV/f.u.

The structure in extended XYZ format:
```
6
Lattice="3.039 0.000 0.000 0.000 7.919 0.000 0.000 0.000 6.121" Properties=species:S:1:pos:R:3 pbc="T T T"
Ba 0.000 0.000 0.000
Ba 1.520 3.959 3.061
Cr 0.656 3.226 0.000
Cr 0.864 7.185 3.061
Cr 2.175 0.734 3.061
Cr 2.383 4.693 0.000
```


No. 10
VASP calculation (GGA-PBE) on crystalline Ba3Cr at its relaxed geometry.

Values from the calculation:
The volume is 193.8 Å³/cell. For the energy relative to the elements, the calculation gives 1.79 eV/f.u.

The structure in extended XYZ format:
```
4
Lattice="-2.214 3.285 6.663 2.214 -3.285 6.663 2.214 3.285 -6.663" Properties=species:S:1:pos:R:3 pbc="T T T"
Ba 0.000 0.000 0.000
Ba 2.214 0.000 3.997
Ba 0.000 3.285 2.666
Cr 0.000 0.000 6.663
```


No. 11
VASP calculation (GGA-PBE) on crystalline BaCr at its relaxed geometry.

Values from the calculation:
The volume is 84.9 Å³/cell. For the energy relative to the elements, the calculation gives 2.12 eV/f.u.

The structure in extended XYZ format:
```
2
Lattice="0.000 3.488 3.488 3.488 0.000 3.488 3.488 3.488 0.000" Properties=species:S:1:pos:R:3 pbc="T T T"
Ba 0.000 0.000 0.000
Cr 3.488 3.488 3.488
```


No. 12
VASP calculation (GGA-PBE) on crystalline Ba3Cr at its relaxed geometry.

Values from the calculation:
The volume is 191.2 Å³/cell. For the energy relative to the elements, the calculation gives 2.13 eV/f.u.

The structure in extended XYZ format:
```
4
Lattice="5.761 0.000 0.000 0.000 5.761 0.000 0.000 0.000 5.761" Properties=species:S:1:pos:R:3 pbc="T T T"
Ba 0.000 0.000 2.880
Ba 0.000 2.880 0.000
Ba 2.880 0.000 0.000
Cr 2.880 2.880 2.880
```


No. 13
VASP calculation (GGA-PBE) on crystalline BaCr at its relaxed geometry.

Values from the calculation:
The volume is 204.1 Å³/cell. For the energy relative to the elements, the calculation gives 1.48 eV/f.u.

The structure in extended XYZ format:
```
6
Lattice="-2.171 6.828 3.442 2.171 -6.828 3.442 2.171 6.828 -3.442" Properties=species:S:1:pos:R:3 pbc="T T T"
Ba 0.000 0.000 0.000
Ba 2.171 3.181 -1.524
Ba 0.000 3.647 1.918
Cr 2.171 -0.959 2.670
Cr 2.171 0.959 2.670
Cr 0.000 0.000 3.324
```


No. 14
VASP calculation (GGA-PBE) on crystalline Ba2Cr at its relaxed geometry.

Values from the calculation:
The volume is 489.9 Å³/cell. The calculation puts the offset from the most stable computed form at 562 meV per atom. For the energy relative to the elements, the calculation gives 3.29 eV/f.u.

The structure in extended XYZ format:
```
12
Lattice="8.305 0.000 0.000 -4.153 7.193 0.000 0.000 0.000 8.201" Properties=species:S:1:pos:R:3 pbc="T T T"
Ba 0.000 0.000 0.000
Ba 0.000 0.000 4.101
Ba 0.000 2.718 2.050
Ba -1.799 5.834 2.050
Ba 2.354 1.359 6.151
Ba 1.799 5.834 2.050
Ba 5.952 1.359 6.151
Ba 4.153 4.475 6.151
Cr 0.000 4.795 5.287
Cr 0.000 4.795 7.014
Cr 4.153 2.398 1.187
Cr 4.153 2.398 2.914
```


No. 15
VASP calculation (GGA-PBE) on crystalline Ba2Cr at its relaxed geometry.

Values from the calculation:
The volume is 276.5 Å³/cell. The calculation puts the offset from the most stable computed form at 555 meV per atom. For the energy relative to the elements, the calculation gives 3.26 eV/f.u.

The structure in extended XYZ format:
```
6
Lattice="0.000 5.171 5.171 5.171 0.000 5.171 5.171 5.171 0.000" Properties=species:S:1:pos:R:3 pbc="T T T"
Ba 0.000 0.000 0.000
Ba 2.585 2.585 0.000
Ba 2.585 0.000 2.585
Ba 0.000 2.585 2.585
Cr 3.878 3.878 3.878
Cr 6.463 6.463 6.463
```


No. 16
VASP calculation (GGA-PBE) on crystalline BaCr2 at its relaxed geometry.

Values from the calculation:
The volume is 179.3 Å³/cell. The calculation puts the offset from the most stable computed form at 45 meV per atom. For the energy relative to the elements, the calculation gives 1.85 eV/f.u.

The structure in extended XYZ format:
```
6
Lattice="4.378 -1.988 0.000 4.378 1.988 0.000 -2.537 0.000 10.300" Properties=species:S:1:pos:R:3 pbc="T T T"
Ba 1.207 0.000 2.043
Ba 5.012 0.000 8.258
Cr -0.018 0.000 5.572
Cr 2.255 0.000 6.096
Cr 3.964 0.000 4.204
Cr 6.238 0.000 4.728
```


No. 17
VASP calculation (GGA-PBE) on crystalline Ba2Cr at its relaxed geometry.

Values from the calculation:
The volume is 272.5 Å³/cell. The calculation puts the offset from the most stable computed form at 20 meV per atom. For the energy relative to the elements, the calculation gives 1.66 eV/f.u.

The structure in extended XYZ format:
```
6
Lattice="-4.341 4.341 3.614 4.341 -4.341 3.614 4.341 4.341 -3.614" Properties=species:S:1:pos:R:3 pbc="T T T"
Ba 5.824 1.483 0.000
Ba 1.483 2.859 0.000
Ba 2.859 1.483 3.614
Ba -1.483 2.859 3.614
Cr 0.000 0.000 1.807
Cr 0.000 0.000 5.422
```


No. 18
VASP calculation (GGA-PBE) on crystalline BaCr at its relaxed geometry.

Values from the calculation:
The volume is 934.0 Å³/cell. For the energy relative to the elements, the calculation gives 3.10 eV/f.u.

The structure in extended XYZ format:
```
12
Lattice="9.775 0.000 0.000 0.000 9.775 0.000 0.000 0.000 9.775" Properties=species:S:1:pos:R:3 pbc="T T T"
Ba 0.000 2.444 4.887
Ba 0.000 7.331 4.887
Ba 2.444 4.887 0.000
Ba 4.887 0.000 2.444
Ba 4.887 0.000 7.331
Ba 7.331 4.887 0.000
Cr 0.000 4.887 2.444
Cr 0.000 4.887 7.331
Cr 2.444 0.000 4.887
Cr 4.887 2.444 0.000
Cr 4.887 7.331 0.000
Cr 7.331 0.000 4.887
```


No. 19
VASP calculation (GGA-PBE) on crystalline BaCr2 at its relaxed geometry.

Values from the calculation:
The volume is 353.2 Å³/cell. The calculation puts the offset from the most stable computed form at 155 meV per atom. For the energy relative to the elements, the calculation gives 2.18 eV/f.u.

The structure in extended XYZ format:
```
12
Lattice="6.495 0.000 0.000 0.000 4.458 0.000 0.000 0.000 12.198" Properties=species:S:1:pos:R:3 pbc="T T T"
Ba 0.776 1.114 1.744
Ba 2.471 3.343 7.843
Ba 4.024 1.114 4.355
Ba 5.719 3.343 10.454
Cr 0.716 3.343 4.650
Cr 0.767 1.114 5.659
Cr 2.480 3.343 11.758
Cr 2.532 1.114 10.749
Cr 3.963 3.343 1.449
Cr 4.015 1.114 0.440
Cr 5.728 3.343 6.539
Cr 5.779 1.114 7.548
```


No. 20
VASP calculation (GGA-PBE) on crystalline BaCr2 at its relaxed geometry.

Values from the calculation:
The volume is 84.9 Å³/cell. The calculation puts the offset from the most stable computed form at 875 meV per atom. For the energy relative to the elements, the calculation gives 4.34 eV/f.u.

The structure in extended XYZ format:
```
3
Lattice="3.521 0.000 0.000 -1.760 3.049 0.000 0.000 0.000 7.910" Properties=species:S:1:pos:R:3 pbc="T T T"
Ba 0.000 0.000 0.000
Cr 0.000 2.033 2.846
Cr 1.760 1.016 5.064
```